# 1
# Pr3Ga4Ni4

Pr3Ga4Ni4 after structural relaxation (PBE, Alexandria via LeMat-Bulk).

Results
Size of the total moment   0.000 μB per atom
ΔH_f (0 K)   -0.5195 eV/atom
Density of states at the Fermi level   10.83 states/eV/cell
Space group   Immm

```
data_Pr3Ga4Ni4
_chemical_formula_sum 'Pr3 Ga4 Ni4'
_cell_length_a 4.250
_cell_length_b 4.099
_cell_length_c 12.645
_cell_angle_alpha 99.33
_cell_angle_beta 99.67
_cell_angle_gamma 90.00
_symmetry_space_group_name_H-M 'P 1'
_symmetry_Int_Tables_number 1
loop_
_symmetry_equiv_pos_as_xyz
'x,y,z'
loop_
_atom_site_label
_atom_site_fract_x
_atom_site_fract_y
_atom_site_fract_z
Pr1 0.349 0.849 0.698
Pr2 0.651 0.151 0.302
Pr3 0.000 0.000 0.000
Ga1 0.800 0.300 0.600
Ga2 0.447 0.447 0.895
Ga3 0.553 0.553 0.105
Ga4 0.200 0.700 0.400
Ni1 0.251 0.251 0.501
Ni2 0.100 0.600 0.200
Ni3 0.900 0.400 0.800
Ni4 0.749 0.749 0.499
```

---

# 2
# KCrTe2

KCrTe2 after structural relaxation (PBE, Alexandria via LeMat-Bulk).

Results
Size of the total moment   0.750 μB per atom
Density of states at the Fermi level   2.23 states/eV/cell
Space group   Amm2
Formation energy (no corrections)   -0.376 eV/atom

```
data_KCrTe2
_chemical_formula_sum 'K1 Cr1 Te2'
_cell_length_a 4.676
_cell_length_b 4.427
_cell_length_c 7.371
_cell_angle_alpha 72.53
_cell_angle_beta 90.00
_cell_angle_gamma 90.00
_symmetry_space_group_name_H-M 'P 1'
_symmetry_Int_Tables_number 1
loop_
_symmetry_equiv_pos_as_xyz
'x,y,z'
loop_
_atom_site_label
_atom_site_fract_x
_atom_site_fract_y
_atom_site_fract_z
Cr1 0.000 0.440 0.244
K1 0.500 0.659 0.807
Te1 0.000 0.042 0.041
Te2 0.500 0.359 0.407
```

---

# 3
# Dy3IrAu2

Dy3IrAu2 after structural relaxation (PBE, Alexandria via LeMat-Bulk).

Results
Size of the total moment   0.000 μB per atom
ΔH_f (0 K)   -0.7601 eV/atom
Density of states at the Fermi level   8.53 states/eV/cell
Space group   C2/c

```
data_Dy3IrAu2
_chemical_formula_sum 'Dy6 Ir2 Au4'
_cell_length_a 5.808
_cell_length_b 8.132
_cell_length_c 7.284
_cell_angle_alpha 106.21
_cell_angle_beta 113.50
_cell_angle_gamma 90.00
_symmetry_space_group_name_H-M 'P 1'
_symmetry_Int_Tables_number 1
loop_
_symmetry_equiv_pos_as_xyz
'x,y,z'
loop_
_atom_site_label
_atom_site_fract_x
_atom_site_fract_y
_atom_site_fract_z
Dy1 0.502 0.250 0.000
Dy2 0.498 0.750 0.000
Dy3 0.146 0.074 0.295
Dy4 0.851 0.426 0.705
Dy5 0.149 0.574 0.295
Dy6 0.854 0.926 0.705
Ir1 0.998 0.750 0.000
Ir2 0.002 0.250 0.000
Au1 0.677 0.588 0.351
Au2 0.674 0.088 0.351
Au3 0.326 0.912 0.649
Au4 0.323 0.412 0.649
```

---

# 4
# LiMg2MnBr

LiMg2MnBr after structural relaxation (PBE, Alexandria via LeMat-Bulk).

Results
Size of the total moment   0.052 μB per atom
Density of states at the Fermi level   5.49 states/eV/cell
Space group   P4/mmm
Formation energy (no corrections)   0.781 eV/atom

```
data_LiMg2MnBr
_chemical_formula_sum 'Li1 Mg2 Mn1 Br1'
_cell_length_a 5.050
_cell_length_b 4.304
_cell_length_c 5.050
_cell_angle_alpha 90.00
_cell_angle_beta 90.00
_cell_angle_gamma 90.00
_symmetry_space_group_name_H-M 'P 1'
_symmetry_Int_Tables_number 1
loop_
_symmetry_equiv_pos_as_xyz
'x,y,z'
loop_
_atom_site_label
_atom_site_fract_x
_atom_site_fract_y
_atom_site_fract_z
Mg1 0.000 0.000 0.500
Mg2 0.500 0.000 0.000
Mn1 0.000 0.500 0.000
Br1 0.500 0.500 0.500
Li1 0.000 0.000 0.000
```

---

# 5
# AgSb2Ru

AgSb2Ru after structural relaxation (PBE, Alexandria via LeMat-Bulk).

Results
Size of the total moment   0.000 μB per atom
Density of states at the Fermi level   2.56 states/eV/cell
Space group   Cm
Formation energy (no corrections)   0.209 eV/atom

```
data_AgSb2Ru
_chemical_formula_sum 'Ag1 Sb2 Ru1'
_cell_length_a 4.959
_cell_length_b 4.959
_cell_length_c 5.746
_cell_angle_alpha 77.22
_cell_angle_beta 77.22
_cell_angle_gamma 40.08
_symmetry_space_group_name_H-M 'P 1'
_symmetry_Int_Tables_number 1
loop_
_symmetry_equiv_pos_as_xyz
'x,y,z'
loop_
_atom_site_label
_atom_site_fract_x
_atom_site_fract_y
_atom_site_fract_z
Ag1 0.503 0.503 0.500
Ru1 0.258 0.258 0.267
Sb1 0.986 0.986 0.091
Sb2 0.753 0.753 0.642
```

---

# 6
# La4Pd3Rh

La4Pd3Rh after structural relaxation (PBE, Alexandria via LeMat-Bulk).

Results
Size of the total moment   0.000 μB per atom
ΔH_f (0 K)   -0.8195 eV/atom
Density of states at the Fermi level   5.28 states/eV/cell
Space group   Pmm2

```
data_La4Pd3Rh
_chemical_formula_sum 'La4 Pd3 Rh1'
_cell_length_a 3.971
_cell_length_b 4.623
_cell_length_c 11.024
_cell_angle_alpha 90.00
_cell_angle_beta 90.00
_cell_angle_gamma 90.00
_symmetry_space_group_name_H-M 'P 1'
_symmetry_Int_Tables_number 1
loop_
_symmetry_equiv_pos_as_xyz
'x,y,z'
loop_
_atom_site_label
_atom_site_fract_x
_atom_site_fract_y
_atom_site_fract_z
Rh1 0.500 0.500 0.097
Pd1 0.000 0.500 0.587
Pd2 0.000 0.000 0.414
Pd3 0.500 0.000 0.911
La1 0.500 0.500 0.353
La2 0.000 0.500 0.872
La3 0.000 0.000 0.135
La4 0.500 0.000 0.632
```

---

# 7
# BeAuBr2

BeAuBr2 after structural relaxation (PBE, Alexandria via LeMat-Bulk).

Results
Size of the total moment   0.000 μB per atom
Density of states at the Fermi level   4.38 states/eV/cell
Space group   I-42d
Formation energy (no corrections)   -0.032 eV/atom

```
data_BeAuBr2
_chemical_formula_sum 'Be2 Au2 Br4'
_cell_length_a 6.597
_cell_length_b 6.597
_cell_length_c 6.610
_cell_angle_alpha 60.07
_cell_angle_beta 60.07
_cell_angle_gamma 90.00
_symmetry_space_group_name_H-M 'P 1'
_symmetry_Int_Tables_number 1
loop_
_symmetry_equiv_pos_as_xyz
'x,y,z'
loop_
_atom_site_label
_atom_site_fract_x
_atom_site_fract_y
_atom_site_fract_z
Be1 0.500 0.500 0.000
Be2 0.250 0.750 0.500
Au1 0.000 0.000 0.000
Au2 0.750 0.250 0.500
Br1 0.515 0.125 0.250
Br2 0.235 0.625 0.250
Br3 0.375 0.485 0.750
Br4 0.875 0.765 0.750
```

---

# 8
# LiHfZr2

LiHfZr2 after structural relaxation (PBE, Alexandria via LeMat-Bulk).

Results
Size of the total moment   0.000 μB per atom
ΔH_f (0 K)   0.0909 eV/atom
Density of states at the Fermi level   3.43 states/eV/cell
Space group   P4/mmm

```
data_LiHfZr2
_chemical_formula_sum 'Li1 Hf1 Zr2'
_cell_length_a 3.175
_cell_length_b 3.175
_cell_length_c 8.616
_cell_angle_alpha 90.00
_cell_angle_beta 90.00
_cell_angle_gamma 90.00
_symmetry_space_group_name_H-M 'P 1'
_symmetry_Int_Tables_number 1
loop_
_symmetry_equiv_pos_as_xyz
'x,y,z'
loop_
_atom_site_label
_atom_site_fract_x
_atom_site_fract_y
_atom_site_fract_z
Hf1 0.500 0.500 0.500
Zr1 0.000 0.000 0.750
Zr2 0.000 0.000 0.250
Li1 0.500 0.500 0.000
```